[1]
Computed, not measured: a relaxed structure of Dy6TlRu5 at the PBE-GGA level of DFT.

- electronic total energy (eV per atom) = -6.697
- formation enthalpy at 0 K (meV/atom) = -333

Cell: 4.8816 14.6122 6.9802 Å, 90.00 90.00 90.00°
Last column: nearest neighbours and their distance in Å.
Space group Cmmm (No. 65)
Symmetry-distinct sites (fractional):
Dy: 0.0000 0.0000 0.2312 [4 per cell]  6 Ru 2.92-3.05, 2 Tl 3.08, 1 Dy 3.23
Dy: 0.0000 0.3265 0.2439 [8 per cell]  7 Ru 2.89-3.05, 1 Tl 3.10
Tl: 0.0000 0.5000 0.5000 [2 per cell]  8 Dy 3.08-3.10, 4 Ru 3.42
Ru: 0.0000 0.1642 0.5000 [4 per cell]  8 Dy 2.97-3.05
Ru: 0.0000 0.1665 0.0000 [4 per cell]  8 Dy 2.89-2.98
Ru: 0.0000 0.5000 0.0000 [2 per cell]  8 Dy 2.93-3.05



[2]
Computed, not measured: a relaxed structure of Li2Ca2UN4 at the PBE-GGA level of DFT.

- electronic total energy (eV per atom) = -6.786
- formation energy (no corrections) (meV/atom) = -961

Cell: 12.0905 3.4459 6.0906 Å, 90.00 114.78 90.00°
Last column: nearest neighbours and their distance in Å.
Space group C2/m (No. 12)
Symmetry-distinct sites (fractional):
Li: 0.1831 0.0000 0.4818 [4 per cell]  4 N 1.96-2.10
Ca: 0.1472 0.5000 0.0652 [4 per cell]  5 N 2.51-2.74, 1 Li 2.66
U: 0.0000 0.5000 0.5000 [2 per cell]  6 N 2.19-2.24
N: 0.0084 0.0000 0.2730 [4 per cell]  1 Li 1.96
N: 0.1995 0.5000 0.6893 [4 per cell]  3 Li 2.08-2.10, 1 U 2.19



[3]
Computed, not measured: a relaxed structure of Lu2TlFe at the PBE-GGA level of DFT.

- electronic total energy (eV per atom) = -5.130
- formation enthalpy at 0 K (meV/atom) = -162

Cell: 3.2915 3.2915 8.0308 Å, 90.00 90.00 90.00°
Last column: nearest neighbours and their distance in Å.
Space group P4/mmm (No. 123)
Symmetry-distinct sites (fractional):
Lu: 0.0000 0.0000 0.1956 [2 per cell]  4 Fe 2.81, 1 Lu 3.14
Tl: 0.5000 0.5000 0.5000 [1 per cell]  4 Tl 3.29, 8 Lu 3.38
Fe: 0.5000 0.5000 0.0000 [1 per cell]  8 Lu 2.81